1.
Computed, not measured: a relaxed Rb3Np2CuSe6 crystal at the PBE level of DFT.

Cell lengths 7.412, 7.412, 8.254 Å; angles 97.72, 97.72, 123.07 degrees
Each line ends with the local moment (μB).
Atoms (fractional coordinates):
Se (0.939, 0.582, 0.801)  -0.12
Se (0.582, 0.939, 0.801)  -0.12
Se (0.249, 0.249, 0.829)  -0.10
Se (0.751, 0.751, 0.171)  -0.10
Se (0.061, 0.418, 0.199)  -0.12
Se (0.418, 0.061, 0.199)  -0.12
Np (0.335, 0.665, 0.000)  3.46
Np (0.665, 0.335, 0.000)  3.46
Rb (0.842, 0.158, 0.500)  -0.01
Rb (0.500, 0.500, 0.500)  0.00
Rb (0.158, 0.842, 0.500)  -0.01
Cu (0.000, 0.000, 0.000)  -0.12

energy relative to the elements, uncorrected = -1.000 eV/atom
calculated total energy = -5.48 eV per atom



2.
Computed, not measured: a relaxed RbNpCuSe4 crystal at the PBE level of DFT.

Cell lengths 7.081, 5.760, 9.704 Å; angles 90.00, 106.36, 90.00 degrees
Each line ends with the local moment (μB).
Atoms (fractional coordinates):
Se (0.573, 0.250, 0.417)  -0.19
Se (0.014, 0.989, 0.696)  -0.12
Se (0.014, 0.511, 0.696)  -0.12
Se (0.470, 0.750, 0.180)  -0.17
Se (0.530, 0.250, 0.820)  -0.17
Se (0.427, 0.750, 0.583)  -0.19
Se (0.986, 0.011, 0.304)  -0.12
Se (0.986, 0.489, 0.304)  -0.12
Np (0.268, 0.250, 0.554)  3.13
Np (0.732, 0.750, 0.446)  3.13
Rb (0.241, 0.250, 0.050)  -0.01
Rb (0.759, 0.750, 0.950)  -0.01
Cu (0.262, 0.750, 0.333)  -0.15
Cu (0.738, 0.250, 0.667)  -0.15

energy relative to the elements, uncorrected = -0.820 eV/atom
calculated total energy = -5.38 eV per atom



3.
Computed, not measured: a relaxed RbNp4Cu3Se12 crystal at the PBE level of DFT.

Cell lengths 8.840, 8.840, 8.840 Å; angles 109.47, 109.47, 109.47 degrees
Each line ends with the local moment (μB).
Atoms (fractional coordinates):
Se (0.322, 0.833, 0.155)  -0.15
Se (0.167, 0.845, 0.678)  -0.15
Se (0.511, 0.678, 0.833)  -0.15
Se (0.833, 0.511, 0.678)  -0.15
Se (0.155, 0.322, 0.833)  -0.15
Se (0.489, 0.322, 0.167)  -0.15
Se (0.167, 0.489, 0.322)  -0.15
Se (0.322, 0.167, 0.489)  -0.15
Se (0.678, 0.167, 0.845)  -0.15
Se (0.845, 0.678, 0.167)  -0.15
Se (0.678, 0.833, 0.511)  -0.15
Se (0.833, 0.155, 0.322)  -0.15
Np (0.500, 0.500, 0.500)  3.13
Np (0.500, 0.000, 0.000)  3.13
Np (0.000, 0.500, 0.000)  3.13
Np (0.000, 0.000, 0.500)  3.13
Cu (0.500, 0.000, 0.500)  -0.02
Cu (0.500, 0.500, 0.000)  -0.02
Cu (0.000, 0.500, 0.500)  -0.02
Rb (0.000, 0.000, 0.000)  0.00

energy relative to the elements, uncorrected = -0.641 eV/atom
calculated total energy = -5.98 eV per atom



4.
Computed, not measured: a relaxed Rb4Np3CuSe8 crystal at the PBE level of DFT.

Cell lengths 8.437, 9.324, 8.457 Å; angles 117.01, 119.92, 90.00 degrees
Each line ends with the local moment (μB).
Atoms (fractional coordinates):
Rb (0.500, 0.000, 0.000)  0.00
Rb (0.500, 0.000, 0.500)  0.00
Rb (0.000, 0.000, 0.500)  0.00
Rb (0.000, 0.000, 0.000)  0.00
Se (0.732, 0.697, 0.464)  -0.09
Se (0.231, 0.689, 0.461)  -0.11
Se (0.268, 0.303, 0.536)  -0.09
Se (0.772, 0.313, 0.041)  -0.11
Se (0.769, 0.311, 0.539)  -0.11
Se (0.731, 0.687, 0.959)  -0.11
Se (0.269, 0.313, 0.041)  -0.11
Se (0.228, 0.687, 0.959)  -0.11
Cu (0.000, 0.500, 0.000)  -0.13
Np (0.000, 0.500, 0.500)  3.63
Np (0.500, 0.500, 0.500)  3.63
Np (0.500, 0.500, 0.000)  3.64

energy relative to the elements, uncorrected = -1.055 eV/atom
calculated total energy = -5.72 eV per atom



5.
Computed, not measured: a relaxed Rb2Np2CuSe6 crystal at the PBE level of DFT.

Cell lengths 7.291, 7.291, 8.512 Å; angles 97.22, 97.22, 124.32 degrees
Each line ends with the local moment (μB).
Atoms (fractional coordinates):
Rb (0.846, 0.154, 0.000)  -0.01
Rb (0.154, 0.846, 0.000)  -0.01
Se (0.945, 0.582, 0.307)  -0.16
Se (0.418, 0.055, 0.693)  -0.16
Se (0.582, 0.945, 0.307)  -0.16
Se (0.755, 0.755, 0.665)  -0.12
Se (0.055, 0.418, 0.693)  -0.16
Se (0.245, 0.245, 0.335)  -0.12
Np (0.337, 0.663, 0.500)  3.16
Np (0.663, 0.337, 0.500)  3.16
Cu (0.000, 0.000, 0.500)  -0.17

energy relative to the elements, uncorrected = -0.946 eV/atom
calculated total energy = -5.75 eV per atom



6.
Computed, not measured: a relaxed Rb2Np3CuSe8 crystal at the PBE level of DFT.

Cell lengths 8.272, 8.272, 9.771 Å; angles 64.96, 64.96, 60.00 degrees
Each line ends with the local moment (μB).
Atoms (fractional coordinates):
Se (0.266, 0.266, 0.201)  -0.12
Se (0.692, 0.234, 0.841)  -0.17
Se (0.269, 0.765, 0.202)  -0.14
Se (0.719, 0.719, 0.844)  -0.14
Se (0.234, 0.692, 0.841)  -0.17
Se (0.765, 0.269, 0.202)  -0.14
Se (0.234, 0.234, 0.841)  -0.17
Se (0.765, 0.765, 0.202)  -0.14
Rb (0.135, 0.135, 0.594)  -0.01
Rb (0.494, 0.494, 0.519)  0.00
Cu (0.942, 0.942, 0.175)  -0.13
Np (0.493, 0.994, 0.021)  3.21
Np (0.493, 0.493, 0.021)  3.21
Np (0.994, 0.493, 0.021)  3.21

energy relative to the elements, uncorrected = -0.976 eV/atom
calculated total energy = -6.17 eV per atom



7.
Computed, not measured: a relaxed Rb2NpCuSe4 crystal at the PBE level of DFT.

Cell lengths 8.280, 8.280, 8.398 Å; angles 105.26, 105.26, 94.56 degrees
Each line ends with the local moment (μB).
Atoms (fractional coordinates):
Se (0.168, 0.215, 0.960)  -0.14
Se (0.832, 0.785, 0.040)  -0.14
Se (0.837, 0.309, 0.159)  -0.17
Se (0.809, 0.337, 0.659)  -0.17
Se (0.715, 0.668, 0.460)  -0.14
Se (0.285, 0.332, 0.540)  -0.14
Se (0.191, 0.663, 0.341)  -0.17
Se (0.163, 0.691, 0.841)  -0.17
Cu (0.000, 0.000, 0.000)  -0.15
Cu (0.500, 0.500, 0.500)  -0.15
Rb (0.500, 0.000, 0.500)  -0.01
Rb (0.500, 0.500, 0.000)  0.00
Rb (0.000, 0.000, 0.500)  0.00
Rb (0.500, 0.000, 0.000)  -0.01
Np (0.000, 0.500, 0.000)  3.04
Np (0.000, 0.500, 0.500)  3.04

energy relative to the elements, uncorrected = -0.803 eV/atom
calculated total energy = -4.92 eV per atom



8.
Computed, not measured: a relaxed RbNp2Cu2Se6 crystal at the PBE level of DFT.

Cell lengths 7.441, 7.927, 7.993 Å; angles 122.74, 90.88, 60.71 degrees
Each line ends with the local moment (μB).
Atoms (fractional coordinates):
Se (0.592, 0.224, 0.969)  -0.15
Se (0.010, 0.575, 0.829)  -0.15
Se (0.817, 0.166, 0.422)  -0.15
Se (0.990, 0.425, 0.171)  -0.15
Se (0.183, 0.834, 0.578)  -0.15
Se (0.408, 0.776, 0.031)  -0.15
Rb (0.500, 0.000, 0.500)  0.00
Cu (0.811, 0.254, 0.185)  -0.12
Cu (0.189, 0.746, 0.815)  -0.12
Np (0.168, 0.663, 0.168)  3.19
Np (0.832, 0.337, 0.832)  3.19

energy relative to the elements, uncorrected = -0.770 eV/atom
calculated total energy = -5.86 eV per atom